Record 1
Entry from the Alexandria database: a relaxed structure of TlSbTe2 (GGA-PBE).

a = 4.4098 Å, b = 4.4100 Å, c = 8.3669 Å
α = 90.00°, β = 89.99°, γ = 120.00°
Fractional coordinates of all 4 atoms:
1 Tl 0.0000 0.5000 0.5000
2 Sb 0.0000 0.5000 0.0000
3 Te 0.6667 0.8333 0.7862
4 Te 0.3333 0.1667 0.2138

## Properties
- E: -3.404 eV/atom
- Formation energy (no corrections): -0.211 eV per atom
- Excess energy over the best structure of this formula in the dataset: 0.020 eV per atom

=====

Record 2
Entry from the Alexandria database: a relaxed structure of In2TeBr (GGA-PBE).

a = 4.4822 Å, b = 4.5081 Å, c = 6.6492 Å
α = 90.00°, β = 90.00°, γ = 90.00°
Fractional coordinates of all 4 atoms:
1 Te 0.0000 0.0000 0.3748
2 Br 0.5000 0.5000 0.8742
3 In 0.0000 0.0000 0.8750
4 In 0.5000 0.5000 0.3760

## Properties
- E: -2.969 eV/atom
- Formation energy (no corrections): -0.397 eV per atom
- Excess energy over the best structure of this formula in the dataset: 0.022 eV per atom

=====

Record 3
Entry from the Alexandria database: a relaxed structure of Pr3Zn9Ni2 (GGA-PBE).

a = 4.3375 Å, b = 8.2281 Å, c = 8.2281 Å
α = 68.27°, β = 74.72°, γ = 74.72°
Fractional coordinates of all 14 atoms:
1 Pr 0.0000 0.0000 0.0000
2 Pr 0.6914 0.3086 0.3086
3 Pr 0.3086 0.6914 0.6914
4 Zn 0.0000 0.5000 0.5000
5 Zn 0.6629 0.9820 0.6923
6 Zn 0.3371 0.0180 0.3077
7 Zn 0.6629 0.6923 0.9820
8 Zn 0.3371 0.3077 0.0180
9 Zn 0.8790 0.8373 0.4046
10 Zn 0.1210 0.1627 0.5954
11 Zn 0.8790 0.4046 0.8373
12 Zn 0.1210 0.5954 0.1627
13 Ni 0.5000 0.2972 0.7028
14 Ni 0.5000 0.7028 0.2972

## Properties
- E: -2.979 eV/atom
- ΔE_f: -310 meV/atom